The following is a PBE calculation of a relaxed structure of TlHgP2S, from Alexandria via LeMat-Bulk.

Geometry as POSCAR:
```
TlHgP2S
1.0
-2.053 -3.758 -2.731
4.438 -2.470 0.062
-1.425 -2.449 4.441
S P Tl Hg
1 2 1 1
direct
0.000 0.000 0.500
0.000 0.500 0.000
0.500 0.000 0.000
0.500 0.500 0.500
0.000 0.000 0.000
```

Calculated values
Fermi-level density of states = 4.66 states/eV/cell
total magnetization = 0.3310 μB per atom
crystal system = tetragonal
mass density = 6.10 g/cm³
energy relative to the lowest polymorph listed for this composition = 0 meV/atom

The following is a PBE calculation of a relaxed structure of TlHgPS4, from Alexandria via LeMat-Bulk.

Geometry as POSCAR:
```
TlHgPS4
1.0
-0.723 -1.868 -6.045
3.785 -5.890 1.368
-6.960 -3.420 4.537
Tl Hg P S
2 2 2 8
direct
0.802 0.750 0.932
0.198 0.250 0.068
0.745 0.750 0.401
0.255 0.250 0.599
0.187 0.750 0.292
0.813 0.250 0.708
0.018 0.479 0.716
0.982 0.979 0.284
0.982 0.521 0.284
0.018 0.021 0.716
0.311 0.750 0.109
0.689 0.250 0.891
0.429 0.750 0.503
0.571 0.250 0.497
```

Calculated values
Fermi-level density of states = 0.00 states/eV/cell
total magnetization = 0.0000 μB per atom
crystal system = monoclinic
mass density = 4.78 g/cm³

The following is a PBE calculation of a relaxed structure of Tm8Hg3P3S, from Alexandria via LeMat-Bulk.

Geometry as POSCAR:
```
Tm8Hg3P3S
1.0
-4.237 6.052 -2.100
-1.895 -7.045 -2.427
-1.576 1.772 8.281
Tm Hg P S
8 3 3 1
direct
0.263 0.526 0.289
0.737 0.474 0.711
0.761 0.522 0.284
0.239 0.478 0.716
0.761 0.024 0.285
0.239 0.976 0.715
0.262 0.023 0.284
0.738 0.977 0.716
0.000 0.000 0.000
0.000 0.500 0.000
0.500 0.500 0.000
0.500 0.000 0.500
0.500 0.500 0.500
0.000 0.500 0.500
0.000 0.000 0.500
```

Calculated values
Fermi-level density of states = 8.73 states/eV/cell
total magnetization = 0.0000 μB per atom
crystal system = monoclinic
mass density = 9.14 g/cm³

We obtain electronic total energy values of -2.58; -3.75; -4.80 eV per atom for the records listed above, in that order.
We obtain energy relative to the elements, uncorrected values of 941; -240; -1001 meV/atom for the records listed above, in that order.